ThMg16Al12, relaxed, DFT PBE; ΔE_f = -0.06 eV/atom; spin magnetization = 0.000 μB/atom
1.0
0.570 -9.090 1.080
3.730 4.181 7.261
-8.809 2.444 -0.744
Al Mg Th
12 16 1
Direct
0.813 0.183 0.813
0.369 0.000 0.187
0.631 0.817 0.631
0.817 0.631 0.631
0.000 0.369 0.187
0.631 0.631 0.817
0.000 0.187 0.369
0.813 0.813 0.183
0.369 0.187 0.000
0.187 0.000 0.369
0.187 0.369 0.000
0.183 0.813 0.813
0.604 0.604 0.284
0.000 0.633 0.000
0.367 0.367 0.367
0.284 0.604 0.604
0.633 0.000 0.000
0.396 0.000 0.680
0.680 0.000 0.396
0.680 0.396 0.000
0.000 0.000 0.633
0.716 0.320 0.320
0.320 0.320 0.716
0.396 0.680 0.000
0.320 0.716 0.320
0.000 0.396 0.680
0.000 0.680 0.396
0.604 0.284 0.604
0.000 0.000 0.000